NaVPtC2 | GGA-PBE | relaxed

Values from the calculation:
ΔE_f = 1.740 eV/atom
total moment = 0.0 μB per formula unit

Lattice parameters (Å, degrees): 3.8616 3.8616 5.2708 90.00 90.00 90.00
Positions (direct):
Na: 0.0000 0.0000 0.0000
V: 0.0000 0.0000 0.5000
Pt: 0.5000 0.5000 0.0000
C: 0.0000 0.5000 0.5000
C: 0.5000 0.0000 0.5000